Entry from Alexandria via LeMat-Bulk: a geometry-optimized PrHo2MoO8 structure (GGA+U).

Output
**Spin magnetization**: 1.84 μB per cell
**Calculated total energy**: -184.888 eV per cell

a b c (Å): 7.1081 7.1572 6.9736
angles (deg): 90.00 90.00 90.00
Closest atoms and distances in Å follow each position.
Space group Cmmm (No. 65)
Asymmetric unit:
Pr: 0.0000 0.0000 0.0000 x2  6 O 2.28-2.45
Ho: 0.0000 0.5000 0.2599 x4  6 O 2.22-2.31
Mo: 0.0000 0.0000 0.5000 x2  6 O 1.95-1.97
O: 0.0000 0.1855 0.2958 x8  1 Mo 1.95
O: 0.1792 0.5000 0.0000 x4  2 Ho 2.22, 1 Pr 2.28
O: 0.2231 0.5000 0.5000 x4  1 Mo 1.97